[1]
# MnTlCu2

A PBEsol-optimized structure of MnTlCu2 (meta-GGA SCAN, the Alexandria database).

Unit cell a=4.3569 b=4.3569 c=4.3569 alpha=60.00 beta=60.00 gamma=60.00
With the nearest neighbours (Å) after each atom.
Fractional coordinates of all 4 atoms:
Mn: 0.0000 0.0000 0.0000  8 Cu 2.67
Cu: 0.2500 0.2500 0.2500  4 Tl 2.67, 4 Mn 2.67
Cu: 0.7500 0.7500 0.7500  4 Mn 2.67, 4 Tl 2.67
Tl: 0.5000 0.5000 0.5000  8 Cu 2.67

Computed properties:
- Raw total energy: -30.132 eV per atom
- DFT formation energy: 2.796 kcal/mol of atoms


[2]
# MnTl2Cu

A PBEsol-optimized structure of MnTl2Cu (meta-GGA SCAN, the Alexandria database).

Unit cell a=3.4610 b=4.2794 c=5.3440 alpha=90.00 beta=105.44 gamma=90.00
With the nearest neighbours (Å) after each atom.
Fractional coordinates of all 4 atoms:
Mn: 0.4348 0.5000 0.7701  2 Cu 2.61, 7 Tl 2.85-2.89
Cu: 0.3107 0.0000 0.4808  2 Mn 2.61, 7 Tl 2.86-2.91
Tl: 0.7495 0.5000 0.3204  3 Mn 2.85-2.89, 4 Cu 2.86-2.88
Tl: 0.0050 0.0000 0.9287  3 Cu 2.86-2.91, 4 Mn 2.86-2.88

Computed properties:
- Excess energy over the best structure of this formula in the dataset: 0 meV per atom
- Raw total energy: -44.294 eV per atom
- DFT formation energy: 5.743 kcal/mol of atoms


[3]
# MnTl2Cu

A PBEsol-optimized structure of MnTl2Cu (meta-GGA SCAN, the Alexandria database).

Unit cell a=4.7306 b=4.7306 c=4.7306 alpha=60.00 beta=60.00 gamma=60.00
With the nearest neighbours (Å) after each atom.
Fractional coordinates of all 4 atoms:
Mn: 0.5000 0.5000 0.5000  8 Tl 2.90
Tl: 0.7500 0.7500 0.7500  4 Cu 2.90, 4 Mn 2.90
Tl: 0.2500 0.2500 0.2500  4 Mn 2.90, 4 Cu 2.90
Cu: 0.0000 0.0000 0.0000  8 Tl 2.90

Computed properties:
- Excess energy over the best structure of this formula in the dataset: 47 meV per atom
- Raw total energy: -44.247 eV per atom
- DFT formation energy: 6.823 kcal/mol of atoms


[4]
# Mn2CuW

A PBEsol-optimized structure of Mn2CuW (meta-GGA SCAN, the Alexandria database).

Unit cell a=2.6148 b=2.6148 c=7.5142 alpha=90.00 beta=90.00 gamma=90.00
With the nearest neighbours (Å) after each atom.
Fractional coordinates of all 4 atoms:
W: 0.5000 0.5000 0.0000  4 W 2.61, 8 Mn 2.73
Mn: 0.0000 0.0000 0.2668  4 Cu 2.55, 4 Mn 2.61, 4 W 2.73
Mn: 0.0000 0.0000 0.7332  4 Cu 2.55, 4 Mn 2.61, 4 W 2.73
Cu: 0.5000 0.5000 0.5000  8 Mn 2.55, 4 Cu 2.61

Computed properties:
- Excess energy over the best structure of this formula in the dataset: 0 meV per atom
- Raw total energy: -30.254 eV per atom
- DFT formation energy: 2.211 kcal/mol of atoms


[5]
# MnCuW

A PBEsol-optimized structure of MnCuW (meta-GGA SCAN, the Alexandria database).

Unit cell a=2.6407 b=2.6407 c=6.5131 alpha=90.00 beta=90.00 gamma=120.00
With the nearest neighbours (Å) after each atom.
Fractional coordinates of all 3 atoms:
W: 0.6667 0.3333 0.3376  6 W 2.64, 3 Mn 2.67, 3 Cu 2.74
Cu: 0.0000 0.0000 0.9886  3 Mn 2.56, 6 Cu 2.64, 3 W 2.74
Mn: 0.3333 0.6667 0.6738  3 Cu 2.56, 6 Mn 2.64, 3 W 2.67

Computed properties:
- Raw total energy: -34.042 eV per atom
- DFT formation energy: 7.808 kcal/mol of atoms


[6]
# Mn2CuW

A PBEsol-optimized structure of Mn2CuW (meta-GGA SCAN, the Alexandria database).

Unit cell a=2.6094 b=2.6094 c=8.7224 alpha=81.40 beta=81.40 gamma=60.00
With the nearest neighbours (Å) after each atom.
Fractional coordinates of all 4 atoms:
W: 0.5000 0.5000 0.5000  6 W 2.61, 6 Mn 2.69
Cu: 0.0000 0.0000 0.0000  6 Mn 2.56, 6 Cu 2.61
Mn: 0.2531 0.2531 0.2407  3 Cu 2.56, 6 Mn 2.61, 3 W 2.69
Mn: 0.7469 0.7469 0.7593  3 Cu 2.56, 6 Mn 2.61, 3 W 2.69

Computed properties:
- Excess energy over the best structure of this formula in the dataset: 188 meV per atom
- Raw total energy: -30.065 eV per atom
- DFT formation energy: 6.557 kcal/mol of atoms


[7]
# Mn2CuW

A PBEsol-optimized structure of Mn2CuW (meta-GGA SCAN, the Alexandria database).

Unit cell a=4.1011 b=4.1043 c=4.1011 alpha=60.03 beta=90.00 gamma=119.97
With the nearest neighbours (Å) after each atom.
Fractional coordinates of all 4 atoms:
W: 0.0000 0.0000 0.0000  8 Mn 2.51
Mn: 0.2500 0.5000 0.2500  4 Cu 2.51, 4 W 2.51
Mn: 0.7500 0.5000 0.7500  4 W 2.51, 4 Cu 2.51
Cu: 0.5000 0.0000 0.5000  8 Mn 2.51

Computed properties:
- Excess energy over the best structure of this formula in the dataset: 3 meV per atom
- Raw total energy: -30.251 eV per atom
- DFT formation energy: 2.271 kcal/mol of atoms


[8]
# Mn2CuW

A PBEsol-optimized structure of Mn2CuW (meta-GGA SCAN, the Alexandria database).

Unit cell a=2.5976 b=2.5976 c=8.5458 alpha=81.26 beta=81.26 gamma=60.00
With the nearest neighbours (Å) after each atom.
Fractional coordinates of all 4 atoms:
Mn: 0.0048 0.0048 0.9855  9 Mn 2.33-2.60, 3 Cu 2.58
Mn: 0.7424 0.7424 0.7728  9 Mn 2.33-2.60
W: 0.4977 0.4977 0.5068  6 W 2.60, 3 Mn 2.69, 3 Cu 2.74
Cu: 0.2550 0.2550 0.2349  3 Mn 2.58, 6 Cu 2.60, 3 W 2.74

Computed properties:
- Excess energy over the best structure of this formula in the dataset: 205 meV per atom
- Raw total energy: -30.048 eV per atom
- DFT formation energy: 6.940 kcal/mol of atoms


[9]
# Mn3ZnCu

A PBEsol-optimized structure of Mn3ZnCu (meta-GGA SCAN, the Alexandria database).

Unit cell a=4.4542 b=4.4542 c=4.4542 alpha=90.00 beta=90.00 gamma=90.00
With the nearest neighbours (Å) after each atom.
Fractional coordinates of all 5 atoms:
Mn: 0.0000 0.0000 0.5000  2 Cu 2.23
Mn: 0.0000 0.5000 0.0000  2 Cu 2.23
Mn: 0.5000 0.0000 0.0000  2 Cu 2.23
Zn: 0.5000 0.5000 0.5000  12 Mn 3.15
Cu: 0.0000 0.0000 0.0000  6 Mn 2.23

Computed properties:
- Raw total energy: -16.102 eV per atom
- DFT formation energy: 13.695 kcal/mol of atoms


[10]
# MnZn2Cu

A PBEsol-optimized structure of MnZn2Cu (meta-GGA SCAN, the Alexandria database).

Unit cell a=4.0294 b=4.2442 c=4.0294 alpha=61.66 beta=90.00 gamma=118.34
With the nearest neighbours (Å) after each atom.
Fractional coordinates of all 4 atoms:
Zn: 0.2500 0.5000 0.2500  4 Cu 2.56, 4 Zn 2.56, 4 Mn 2.85
Zn: 0.0000 0.0000 0.0000  4 Zn 2.56, 4 Mn 2.56, 4 Cu 2.85
Cu: 0.5000 0.0000 0.5000  4 Mn 2.56, 8 Zn 2.56-2.85
Mn: 0.7500 0.5000 0.7500  4 Cu 2.56, 8 Zn 2.56-2.85

Computed properties:
- Raw total energy: -15.269 eV per atom
- DFT formation energy: -3.399 kcal/mol of atoms


[11]
# MnZn2Cu

A PBEsol-optimized structure of MnZn2Cu (meta-GGA SCAN, the Alexandria database).

Unit cell a=2.6304 b=4.5005 c=4.5726 alpha=99.50 beta=90.00 gamma=106.99
With the nearest neighbours (Å) after each atom.
Fractional coordinates of all 4 atoms:
Zn: 0.0004 0.0008 0.0047  3 Mn 2.59-2.62, 4 Cu 2.61-2.67, 5 Zn 2.61-2.64
Zn: 0.2479 0.4958 0.7445  3 Cu 2.59-2.62, 4 Mn 2.61-2.67, 5 Zn 2.61-2.64
Mn: 0.7514 0.5029 0.2532  7 Zn 2.59-2.67, 3 Cu 2.60, 2 Mn 2.63
Cu: 0.5002 0.0004 0.4976  7 Zn 2.59-2.67, 3 Mn 2.60, 2 Cu 2.63

Computed properties:
- Raw total energy: -15.202 eV per atom
- DFT formation energy: -1.857 kcal/mol of atoms


[12]
# MnZn2Cu

A PBEsol-optimized structure of MnZn2Cu (meta-GGA SCAN, the Alexandria database).

Unit cell a=3.5508 b=3.7513 c=3.7513 alpha=90.00 beta=90.00 gamma=90.00
With the nearest neighbours (Å) after each atom.
Fractional coordinates of all 4 atoms:
Zn: 0.0000 0.0000 0.5000  4 Mn 2.58, 4 Cu 2.58, 4 Zn 2.65
Zn: 0.0000 0.5000 0.0000  4 Mn 2.58, 4 Cu 2.58, 4 Zn 2.65
Cu: 0.5000 0.5000 0.5000  8 Zn 2.58, 4 Mn 2.65
Mn: 0.5000 0.0000 0.0000  8 Zn 2.58, 4 Cu 2.65

Computed properties:
- Raw total energy: -15.229 eV per atom
- DFT formation energy: -2.481 kcal/mol of atoms